Compound: CdPS2Br
Source: Alexandria
Functional: GGA-PBEsol
Structure: relaxed

Cell lengths 4.816, 4.816, 4.759 Å; angles 90.00, 90.00, 90.00 degrees
Space group P4/mmm (No. 123)
Inequivalent atoms, fractional coordinates:
Cd 0.000 0.000 0.000
P 0.500 0.500 0.000
S 0.000 0.500 0.500
Br 0.500 0.500 0.500

Computed properties:
As for the crystal system: tetragonal.

Compound: CdPbBr
Source: Alexandria
Functional: GGA-PBEsol
Structure: relaxed

Cell lengths 3.6239, 3.6239, 7.1099 Å; angles 90.00, 90.00, 120.00 degrees
Space group P3m1 (No. 156)
Inequivalent atoms, fractional coordinates:
Cd 0.0000 0.0000 0.0000
Pb 0.3333 0.6667 0.6591
Br 0.6667 0.3333 0.2720

Computed properties:
As for the crystal system: trigonal.

Compound: Cd3PbBr
Source: Alexandria
Functional: GGA-PBEsol
Structure: relaxed

Cell lengths 5.435, 5.435, 5.435 Å; angles 90.00, 90.00, 90.00 degrees
Space group Pm-3m (No. 221)
Inequivalent atoms, fractional coordinates:
Cd 0.000 0.000 0.500
Pb 0.500 0.500 0.500
Br 0.000 0.000 0.000

Computed properties:
As for the crystal system: cubic.

Compound: CdPb2WBr
Source: Alexandria
Functional: GGA-PBEsol
Structure: relaxed

Cell lengths 5.464, 5.464, 4.832 Å; angles 90.00, 90.00, 90.00 degrees
Space group P4/mmm (No. 123)
Inequivalent atoms, fractional coordinates:
Cd 0.000 0.000 0.000
Pb 0.000 0.500 0.500
W 0.500 0.500 0.500
Br 0.500 0.500 0.000

Computed properties:
As for the crystal system: tetragonal.

Compound: CdPdSeBr2
Source: Alexandria
Functional: GGA-PBEsol
Structure: relaxed

Cell lengths 5.256, 5.256, 5.212 Å; angles 90.00, 90.00, 90.00 degrees
Space group P4/mmm (No. 123)
Inequivalent atoms, fractional coordinates:
Cd 0.000 0.000 0.000
Pd 0.500 0.500 0.500
Se 0.000 0.000 0.500
Br 0.000 0.500 0.000

Computed properties:
As for the crystal system: tetragonal.

Compound: Tl2CdPdBr
Source: Alexandria
Functional: GGA-PBEsol
Structure: relaxed

Cell lengths 5.836, 5.836, 5.243 Å; angles 90.00, 90.00, 90.00 degrees
Space group P4/mmm (No. 123)
Inequivalent atoms, fractional coordinates:
Tl 0.000 0.500 0.000
Cd 0.000 0.000 0.500
Pd 0.500 0.500 0.500
Br 0.000 0.000 0.000

Computed properties:
As for the crystal system: tetragonal.

Compound: Cd3PtBr
Source: Alexandria
Functional: GGA-PBEsol
Structure: relaxed

Cell lengths 5.163, 5.163, 5.163 Å; angles 90.00, 90.00, 90.00 degrees
Space group Pm-3m (No. 221)
Inequivalent atoms, fractional coordinates:
Cd 0.000 0.000 0.500
Pt 0.000 0.000 0.000
Br 0.500 0.500 0.500

Computed properties:
As for the crystal system: cubic.

Compound: CdPtBr2
Source: Alexandria
Functional: GGA-PBEsol
Structure: relaxed

Cell lengths 3.804, 3.703, 7.088 Å; angles 90.00, 102.42, 90.00 degrees
Space group Pm (No. 6)
Inequivalent atoms, fractional coordinates:
Cd 0.000 0.000 0.000
Pt 0.543 0.500 0.100
Br 0.310 0.500 0.748
Br 0.668 0.000 0.370

Computed properties:
As for the crystal system: monoclinic.

Compound: CdPt2Br
Source: Alexandria
Functional: GGA-PBEsol
Structure: relaxed

Cell lengths 3.971, 3.971, 8.828 Å; angles 90.00, 90.00, 90.00 degrees
Space group I-4m2 (No. 119)
Inequivalent atoms, fractional coordinates:
Cd 0.000 0.000 0.000
Pt 0.000 0.000 0.500
Pt 0.000 0.500 0.250
Br 0.000 0.500 0.750

Computed properties:
As for the crystal system: tetragonal.

Compound: CdPt2Br
Source: Alexandria
Functional: GGA-PBEsol
Structure: relaxed

Cell lengths 5.872, 7.986, 2.953 Å; angles 90.00, 90.00, 90.00 degrees
Space group Cmmm (No. 65)
Inequivalent atoms, fractional coordinates:
Cd 0.000 0.000 0.000
Pt 0.250 0.250 0.500
Br 0.000 0.500 0.000

Computed properties:
As for the crystal system: orthorhombic.

Compound: CdPtBr2
Source: Alexandria
Functional: GGA-PBEsol
Structure: relaxed

Cell lengths 4.0499, 4.0499, 20.7531 Å; angles 90.00, 90.00, 120.00 degrees
Space group R3m (No. 160, hexagonal axes)
Inequivalent atoms, fractional coordinates:
Cd 0.0000 0.0000 0.0000
Pt 0.0000 0.0000 0.7417
Br 0.0000 0.0000 0.2592
Br 0.0000 0.0000 0.4541

Computed properties:
As for the crystal system: trigonal.

Compound: CdPt2Br
Source: Alexandria
Functional: GGA-PBEsol
Structure: relaxed

Cell lengths 6.534, 6.534, 6.534 Å; angles 90.00, 90.00, 90.00 degrees
Space group Fm-3m (No. 225)
Inequivalent atoms, fractional coordinates:
Cd 0.000 0.000 0.000
Pt 0.250 0.250 0.250
Br 0.000 0.000 0.500

Computed properties:
As for the crystal system: cubic.

Compound: Cd2PtBr
Source: Alexandria
Functional: GGA-PBEsol
Structure: relaxed

Cell lengths 3.3182, 3.3182, 25.3510 Å; angles 90.00, 90.00, 120.00 degrees
Space group R3m (No. 160, hexagonal axes)
Inequivalent atoms, fractional coordinates:
Cd 0.0000 0.0000 0.0000
Cd 0.0000 0.0000 0.2438
Pt 0.0000 0.0000 0.5006
Br 0.0000 0.0000 0.7521

Computed properties:
As for the crystal system: trigonal.

Compound: Cd2PtBr
Source: Alexandria
Functional: GGA-PBEsol
Structure: relaxed

Cell lengths 5.011, 5.011, 3.100 Å; angles 90.00, 90.00, 90.00 degrees
Space group P4/mmm (No. 123)
Inequivalent atoms, fractional coordinates:
Cd 0.000 0.500 0.000
Pt 0.000 0.000 0.500
Br 0.500 0.500 0.500

Computed properties:
As for the crystal system: tetragonal.

Compound: CdPtBr3
Source: Alexandria
Functional: GGA-PBEsol
Structure: relaxed

Cell lengths 5.062, 5.062, 5.062 Å; angles 90.00, 90.00, 90.00 degrees
Space group Pm-3m (No. 221)
Inequivalent atoms, fractional coordinates:
Cd 0.000 0.000 0.000
Pt 0.500 0.500 0.500
Br 0.000 0.500 0.500

Computed properties:
As for the crystal system: cubic.

Compound: Cd4PtBr
Source: Alexandria
Functional: GGA-PBEsol
Structure: relaxed

Cell lengths 7.936, 7.936, 7.936 Å; angles 90.00, 90.00, 90.00 degrees
Space group F-43m (No. 216)
Inequivalent atoms, fractional coordinates:
Cd 0.124 0.124 0.376
Pt 0.250 0.250 0.750
Br 0.000 0.000 0.000

Computed properties:
As for the crystal system: cubic.

Compound: CdRe2Br
Source: Alexandria
Functional: GGA-PBEsol
Structure: relaxed

Cell lengths 10.636, 2.865, 5.329 Å; angles 90.00, 117.38, 90.00 degrees
Space group Cm (No. 8)
Inequivalent atoms, fractional coordinates:
Cd 0.000 0.000 0.000
Re 0.034 0.500 0.546
Re 0.244 0.000 0.594
Br 0.306 0.500 0.276

Computed properties:
As for the crystal system: monoclinic.

Compound: CdRe4Br
Source: Alexandria
Functional: GGA-PBEsol
Structure: relaxed

Cell lengths 7.442, 7.442, 7.442 Å; angles 90.00, 90.00, 90.00 degrees
Space group F-43m (No. 216)
Inequivalent atoms, fractional coordinates:
Cd 0.000 0.000 0.000
Re 0.124 0.124 0.376
Br 0.250 0.250 0.750

Computed properties:
As for the crystal system: cubic.

Compound: CdRe2Br
Source: Alexandria
Functional: GGA-PBEsol
Structure: relaxed

Cell lengths 2.800, 2.800, 8.479 Å; angles 90.00, 90.00, 90.00 degrees
Space group P4/mmm (No. 123)
Inequivalent atoms, fractional coordinates:
Cd 0.000 0.000 0.000
Re 0.500 0.500 0.258
Br 0.000 0.000 0.500

Computed properties:
As for the crystal system: tetragonal.

Compound: CdRe2Br
Source: Alexandria
Functional: GGA-PBEsol
Structure: relaxed

Cell lengths 5.356, 10.330, 3.135 Å; angles 90.00, 125.37, 90.00 degrees
Space group C2/m (No. 12)
Inequivalent atoms, fractional coordinates:
Cd 0.000 0.000 0.000
Re 0.250 0.250 0.500
Br 0.000 0.500 0.000

Computed properties:
As for the crystal system: monoclinic.

Compound: Cd3ReBr
Source: Alexandria
Functional: GGA-PBEsol
Structure: relaxed

Cell lengths 5.307, 5.307, 5.307 Å; angles 90.00, 90.00, 90.00 degrees
Space group Pm-3m (No. 221)
Inequivalent atoms, fractional coordinates:
Cd 0.000 0.000 0.500
Re 0.000 0.000 0.000
Br 0.500 0.500 0.500

Computed properties:
As for the crystal system: cubic.

Compound: Cd2RhBr
Source: Alexandria
Functional: GGA-PBEsol
Structure: relaxed

Cell lengths 3.003, 4.306, 12.388 Å; angles 90.00, 90.00, 90.00 degrees
Space group Immm (No. 71)
Inequivalent atoms, fractional coordinates:
Cd 0.000 0.000 0.192
Rh 0.000 0.500 0.500
Br 0.000 0.500 0.000

Computed properties:
As for the crystal system: orthorhombic.

Compound: Cd2RhBr
Source: Alexandria
Functional: GGA-PBEsol
Structure: relaxed

Cell lengths 4.029, 4.029, 9.089 Å; angles 90.00, 90.00, 90.00 degrees
Space group I4/mmm (No. 139)
Inequivalent atoms, fractional coordinates:
Cd 0.000 0.500 0.250
Rh 0.000 0.000 0.000
Br 0.000 0.000 0.500

Computed properties:
As for the crystal system: tetragonal.

Compound: CdRuBr
Source: Alexandria
Functional: GGA-PBEsol
Structure: relaxed

Cell lengths 3.068, 3.068, 11.984 Å; angles 90.00, 90.00, 90.00 degrees
Space group I4mm (No. 107)
Inequivalent atoms, fractional coordinates:
Cd 0.000 0.000 0.000
Ru 0.000 0.000 0.650
Br 0.000 0.000 0.278

Computed properties:
As for the crystal system: tetragonal.

Compound: CdRuBr3
Source: Alexandria
Functional: GGA-PBEsol
Structure: relaxed

Cell lengths 4.969, 4.969, 4.969 Å; angles 90.00, 90.00, 90.00 degrees
Space group Pm-3m (No. 221)
Inequivalent atoms, fractional coordinates:
Cd 0.000 0.000 0.000
Ru 0.500 0.500 0.500
Br 0.000 0.500 0.500

Computed properties:
As for the crystal system: cubic.

Compound: Y2CdRuBr
Source: Alexandria
Functional: GGA-PBEsol
Structure: relaxed

Cell lengths 5.203, 5.203, 4.952 Å; angles 90.00, 90.00, 90.00 degrees
Space group P4/mmm (No. 123)
Inequivalent atoms, fractional coordinates:
Y 0.000 0.500 0.000
Cd 0.000 0.000 0.500
Ru 0.500 0.500 0.000
Br 0.500 0.500 0.500

Computed properties:
As for the crystal system: tetragonal.

Compound: Cd3SBr
Source: Alexandria
Functional: GGA-PBEsol
Structure: relaxed

Cell lengths 5.362, 5.362, 5.362 Å; angles 90.00, 90.00, 90.00 degrees
Space group Pm-3m (No. 221)
Inequivalent atoms, fractional coordinates:
Cd 0.000 0.000 0.500
S 0.500 0.500 0.500
Br 0.000 0.000 0.000

Computed properties:
As for the crystal system: cubic.

Compound: CdS2Br
Source: Alexandria
Functional: GGA-PBEsol
Structure: relaxed

Cell lengths 6.724, 6.724, 6.724 Å; angles 90.00, 90.00, 90.00 degrees
Space group Fm-3m (No. 225)
Inequivalent atoms, fractional coordinates:
Cd 0.000 0.000 0.000
S 0.250 0.250 0.250
Br 0.000 0.000 0.500

Computed properties:
As for the crystal system: cubic.

Compound: CdS2Br
Source: Alexandria
Functional: GGA-PBEsol
Structure: relaxed

Cell lengths 5.250, 5.250, 14.717 Å; angles 90.00, 90.00, 90.00 degrees
Space group I-42d (No. 122)
Inequivalent atoms, fractional coordinates:
Cd 0.000 0.000 0.000
S 0.244 0.250 0.125
Br 0.000 0.000 0.500

Computed properties:
As for the crystal system: tetragonal.

Compound: CdSe2SBr
Source: Alexandria
Functional: GGA-PBEsol
Structure: relaxed

Cell lengths 5.173, 5.173, 5.046 Å; angles 90.00, 90.00, 90.00 degrees
Space group P4/mmm (No. 123)
Inequivalent atoms, fractional coordinates:
Cd 0.000 0.000 0.000
Se 0.000 0.500 0.000
S 0.500 0.500 0.500
Br 0.000 0.000 0.500

Computed properties:
As for the crystal system: tetragonal.

Calculated DOS(E_F) in order - 4.458 1.410 3.637 2.649 7.677 1.937 1.493 1.741 2.741 2.737 1.887 4.542 1.598 0.935 2.487 3.001 2.708 5.459 4.795 3.173 2.806 1.694 1.309 3.704 5.036 3.636 3.075 3.869 2.013 5.668 states/eV/f.u.
Calculated calculated density in order - 4.32 8.20 6.46 9.10 5.28 6.58 7.39 7.96 13.89 13.97 7.90 13.87 10.30 10.66 7.00 9.63 13.01 15.10 14.11 13.26 6.70 8.45 9.18 8.64 6.13 5.84 4.84 5.60 4.20 4.70 g/cm³
Calculated uncorrected formation energy in order - 1.0217 -0.2325 0.5347 0.6483 0.5151 0.7016 -0.0589 -0.1690 0.3549 0.3642 -0.1042 0.4145 0.1122 -0.0747 -0.0310 0.2538 0.9225 1.1619 1.3520 1.1475 1.0143 0.0911 0.2272 0.5054 0.1139 0.0143 0.6663 0.5019 0.3078 0.8087 eV/atom